Entry 1:
PrSiNi after structural relaxation, computed with PBE.

E_form (uncorrected): -2.08 eV/f.u.

Lattice parameters (Å, degrees): 4.0197 4.0197 4.3041 90.00 90.00 120.00
Space group P-6m2 (No. 187)
Symmetry-distinct sites (fractional):
Pr  0.0000  0.0000  0.0000
Si  0.6667  0.3333  0.5000
Ni  0.3333  0.6667  0.5000


Entry 2:
Li2CdSn2 after structural relaxation, computed with PBE.

ΔE_f: -3.75 kcal/mol of atoms

Lattice parameters (Å, degrees): 8.275 8.275 3.160 90.00 90.00 90.00
Space group P4/mbm (No. 127)
Symmetry-distinct sites (fractional):
Li  0.115  0.385  0.000
Cd  0.000  0.000  0.000
Sn  0.184  0.684  0.500


Entry 3:
PuIn3Pd7 after structural relaxation, computed with PBE.

ΔE_f: -7.73 kcal/mol of atoms

Lattice parameters (Å, degrees): 8.598 9.779 5.501 90.00 112.72 90.00
Space group C2/m (No. 12)
Symmetry-distinct sites (fractional):
Pu  0.000  0.000  0.000
In  0.000  0.272  0.500
In  0.000  0.500  0.000
Pd  0.000  0.000  0.500
Pd  0.176  0.266  0.180
Pd  0.191  0.500  0.544


Entry 4:
IrRu2Au after structural relaxation, computed with PBE.

Relative energy among the computed polymorphs: 0 meV/atom
ΔE_f: 4.93 kcal/mol of atoms

Lattice parameters (Å, degrees): 2.761 2.761 7.902 90.00 90.00 90.00
Space group P4mm (No. 99)
Symmetry-distinct sites (fractional):
Ir  0.000  0.000  0.000
Ru  0.000  0.000  0.461
Ru  0.500  0.500  0.235
Au  0.500  0.500  0.729


Number 1: spin magnetization 0.00 Bohr magnetons per cell, theoretical density 6.28 g/cm³. Number 2: spin magnetization 0.00 Bohr magnetons per cell, theoretical density 5.58 g/cm³. Number 3: spin magnetization 10.10 Bohr magnetons per cell, theoretical density 10.38 g/cm³. Number 4: spin magnetization 0.00 Bohr magnetons per cell, theoretical density 16.30 g/cm³.